An optimized crystal structure of Mg3Mn5O8. Source: Alexandria via LeMat-Bulk, functional GGA+U.

Summary:
DOS at the Fermi energy in states/eV per cell: 0.12
Crystal system: trigonal
Raw total energy in eV/atom: -7.1210
Total magnetization in μB/f.u.: 25.00

a = 6.2585 Å, b = 6.2585 Å, c = 6.2585 Å
α = 59.92°, β = 59.92°, γ = 59.92°
Sites, in units of the cell vectors:
Mg  0.0000  0.5000  0.5000
Mg  0.5000  0.0000  0.5000
Mg  0.5000  0.5000  0.0000
Mn  0.0000  0.0000  0.0000
Mn  0.0000  0.0000  0.5000
Mn  0.0000  0.5000  0.0000
Mn  0.5000  0.0000  0.0000
Mn  0.5000  0.5000  0.5000
O  0.2500  0.2500  0.7397
O  0.2500  0.7397  0.2500
O  0.2547  0.2547  0.2547
O  0.2603  0.7500  0.7500
O  0.7397  0.2500  0.2500
O  0.7453  0.7453  0.7453
O  0.7500  0.2603  0.7500
O  0.7500  0.7500  0.2603